a.
! Pr4Tl2Cd PBE relaxed; values from VASP
&SYSTEM
  ibrav = 0, nat = 7, ntyp = 3
/
ATOMIC_SPECIES
Pr 140.91 Pr.upf
Tl 204.38 Tl.upf
Cd 112.41 Cd.upf
CELL_PARAMETERS angstrom
2.7393 1.5815 8.7405
-2.7393 1.5815 8.7405
0.0000 -3.1630 8.7405
ATOMIC_POSITIONS angstrom
Pr 0.0000 0.0000 3.0901
Pr 0.0000 0.0000 9.7134
Pr 0.0000 0.0000 16.5081
Pr 0.0000 0.0000 23.1314
Tl 0.0000 0.0000 6.4462
Tl 0.0000 0.0000 19.7752
Cd 0.0000 0.0000 13.1107
! **Volume**: 32.456 Å³ per atom
! **Symmetry**: R-3m (166)

---

b.
! Pr4Tl2Cd PBE relaxed; values from VASP
&SYSTEM
  ibrav = 0, nat = 14, ntyp = 3
/
ATOMIC_SPECIES
Pr 140.91 Pr.upf
Tl 204.38 Tl.upf
Cd 112.41 Cd.upf
CELL_PARAMETERS angstrom
7.6307 0.0000 0.0000
0.0000 6.7576 0.0000
-3.2244 0.0000 8.7768
ATOMIC_POSITIONS angstrom
Pr 0.4436 1.6894 0.4146
Pr -1.0651 0.0459 6.3381
Pr -1.0651 3.3329 6.3381
Pr 1.3756 5.0682 3.0263
Pr 3.0308 1.6894 5.7504
Pr 5.4714 3.4248 2.4386
Pr 5.4714 6.7117 2.4386
Pr 3.9628 5.0682 8.3622
Tl 0.2840 1.6894 3.8279
Tl 3.2246 5.0682 0.3387
Tl 1.1818 1.6894 8.4380
Tl 4.1224 5.0682 4.9489
Cd 2.8634 1.6894 2.4787
Cd 1.5429 5.0682 6.2981
! **Volume**: 32.327 Å³ per atom
! **Symmetry**: P2_1/m (11)

---

Structures ranked by computed energy, the most stable listed first: a, b.

---

a.
! PrTlCd4 PBE relaxed; values from VASP
&SYSTEM
  ibrav = 0, nat = 6, ntyp = 3
/
ATOMIC_SPECIES
Pr 140.91 Pr.upf
Tl 204.38 Tl.upf
Cd 112.41 Cd.upf
CELL_PARAMETERS angstrom
0.0000 4.2691 4.2691
4.2691 0.0000 4.2691
4.2691 4.2691 0.0000
ATOMIC_POSITIONS angstrom
Pr 0.0000 0.0000 0.0000
Tl 2.1345 2.1345 2.1345
Cd 5.3404 3.1977 3.1977
Cd 3.1977 5.3404 3.1977
Cd 3.1977 3.1977 5.3404
Cd 5.3404 5.3404 5.3404
! **Volume**: 25.934 Å³ per atom
! **Symmetry**: F-43m (216)

---

b.
! PrTlCd4 PBE relaxed; values from VASP
&SYSTEM
  ibrav = 0, nat = 12, ntyp = 3
/
ATOMIC_SPECIES
Pr 140.91 Pr.upf
Tl 204.38 Tl.upf
Cd 112.41 Cd.upf
CELL_PARAMETERS angstrom
3.3537 -9.0303 0.0000
3.3537 9.0303 0.0000
0.0000 0.0000 5.1032
ATOMIC_POSITIONS angstrom
Pr 3.3537 6.8685 3.8274
Pr 3.3537 -6.8685 1.2758
Tl 3.3537 2.2212 1.2758
Tl 3.3537 -2.2212 3.8274
Cd 1.6435 3.7817 3.8274
Cd 1.6603 0.7720 3.8274
Cd 1.6603 -0.7720 1.2758
Cd 1.6435 -3.7817 1.2758
Cd 5.0638 3.7817 3.8274
Cd 5.0470 0.7720 3.8274
Cd 5.0470 -0.7720 1.2758
Cd 5.0638 -3.7817 1.2758
! **Volume**: 25.758 Å³ per atom
! **Symmetry**: Cmcm (63)

---

Structures ranked by computed energy, the most stable listed first: b, a.

---

a.
! PrTm2Cd2 PBE relaxed; values from VASP
&SYSTEM
  ibrav = 0, nat = 10, ntyp = 3
/
ATOMIC_SPECIES
Pr 140.91 Pr.upf
Tm 168.93 Tm.upf
Cd 112.41 Cd.upf
CELL_PARAMETERS angstrom
3.7205 0.0000 0.0000
0.0000 5.4107 0.0000
-1.8619 0.0000 13.8057
ATOMIC_POSITIONS angstrom
Pr 0.0020 1.3527 4.0977
Pr 1.8567 4.0580 9.7079
Tm -0.0003 4.0580 1.2909
Tm -0.0015 4.0580 6.5374
Tm 1.8601 1.3527 7.2682
Tm 1.8590 1.3527 12.5148
Cd -0.0016 1.3527 9.8955
Cd -0.0013 4.0580 12.5162
Cd 1.8600 1.3527 1.2894
Cd 1.8602 4.0580 3.9102
! **Volume**: 27.792 Å³ per atom
! **Symmetry**: P2_1/m (11)

---

b.
! PrTm2Cd2 PBE relaxed; values from VASP
&SYSTEM
  ibrav = 0, nat = 10, ntyp = 3
/
ATOMIC_SPECIES
Pr 140.91 Pr.upf
Tm 168.93 Tm.upf
Cd 112.41 Cd.upf
CELL_PARAMETERS angstrom
-2.4877 2.4877 12.3001
2.4877 -2.4877 12.3001
2.4877 2.4877 -12.3001
ATOMIC_POSITIONS angstrom
Pr 0.0000 0.0000 3.1049
Pr 0.0000 0.0000 21.4954
Tm 2.4877 0.0000 6.1501
Tm 0.0000 0.0000 10.5586
Tm 0.0000 0.0000 14.0417
Tm 0.0000 2.4877 6.1501
Cd 2.4877 0.0000 0.0000
Cd 0.0000 0.0000 7.7795
Cd 0.0000 2.4877 0.0000
Cd 0.0000 0.0000 16.8208
! **Volume**: 30.448 Å³ per atom
! **Symmetry**: I4/mmm (139)

---

Structures ranked by computed energy, the most stable listed first: a, b.